A relaxed structure of TeH2S. Source: Alexandria, functional PBE-GGA.

```
TeH2S
1.0
3.9615 -2.9212 0.0000
3.9615 2.9212 0.0000
-0.5712 0.0000 3.2706
Te H S
1 2 1
direct
0.0000 0.0000 0.0000
0.2210 0.2210 0.0612
0.5802 0.5802 0.3791
0.5054 0.5054 0.9766
```

Energy above the lowest structure with this stoichiometry (eV per atom): 0.172

---

A relaxed structure of Th2TeH2S2. Source: Alexandria, functional PBE-GGA.

```
Th2TeH2S2
1.0
2.0429 1.1795 11.0560
-2.0429 1.1795 11.0560
0.0000 -2.3589 11.0560
Th Te H S
2 1 2 2
direct
0.2371 0.2371 0.2371
0.7629 0.7629 0.7629
0.5000 0.5000 0.5000
0.1038 0.1038 0.1038
0.8962 0.8962 0.8962
0.3853 0.3853 0.3853
0.6147 0.6147 0.6147
```

---

A relaxed structure of Tm2TeH2S. Source: Alexandria, functional PBE-GGA.

```
Tm2TeH2S
1.0
3.8065 0.0000 0.0000
-1.9033 3.2966 0.0000
0.0000 0.0000 7.9166
Tm Te H S
2 1 2 1
direct
0.3333 0.6667 0.2253
0.6667 0.3333 0.7747
0.0000 0.0000 0.5000
0.3333 0.6667 0.7624
0.6667 0.3333 0.2376
0.0000 0.0000 0.0000
```

---

Number 1: E_tot -0.12406 Ha/atom. Number 2: E_tot -0.22225 Ha/atom. Number 3: E_tot -0.18750 Ha/atom.